Entry 1:
# Dy2YIr PBE optimized geometry
# - Electronic total energy: -6.71 eV per atom
# - Spin magnetization: 0.00 μB/cell
# - V: 26.854 Å³/atom
# - Formation energy: -2.31 eV/f.u.
data_Dy2YIr
_chemical_formula_sum 'Dy8 Y4 Ir4'
_space_group_name_H-M_alt 'P n m a'
_space_group_IT_number 62
_cell_length_a 7.2404
_cell_length_b 9.3082
_cell_length_c 6.3754
_cell_angle_alpha 90.00
_cell_angle_beta 90.00
_cell_angle_gamma 90.00
loop_
_space_group_symop_operation_xyz
'x,y,z'
'-x,-y,-z'
'-x+1/2,-y,z+1/2'
'x+1/2,y,-z+1/2'
'x+1/2,-y+1/2,-z+1/2'
'-x+1/2,y+1/2,z+1/2'
'-x,y+1/2,-z'
'x,-y+1/2,z'
loop_
_atom_site_label
_atom_site_type_symbol
_atom_site_fract_x
_atom_site_fract_y
_atom_site_fract_z
Dy1 Dy 0.1770 0.0630 0.1732
Y1 Y 0.0334 0.2500 0.6302
Ir1 Ir 0.1161 0.7500 0.9501

***

Entry 2:
# BRhIO2 PBE optimized geometry
# - Electronic total energy: -4.55 eV per atom
# - Uncorrected formation energy: 548 meV/atom
# - Spin magnetization: 0.84 μB/cell
# - V: 22.643 Å³/atom
data_BRhIO2
_chemical_formula_sum 'B1 Rh1 I1 O2'
_space_group_name_H-M_alt 'P 4/m m m'
_space_group_IT_number 123
_space_group_name_Hall '-P 4 2'
_cell_length_a 3.7279
_cell_length_b 3.7279
_cell_length_c 8.1465
_cell_angle_alpha 90.00
_cell_angle_beta 90.00
_cell_angle_gamma 90.00
loop_
_atom_site_label
_atom_site_type_symbol
_atom_site_fract_x
_atom_site_fract_y
_atom_site_fract_z
B1 B 0.0000 0.0000 0.0000
Rh1 Rh 0.5000 0.5000 0.5000
I1 I 0.5000 0.5000 0.0000
O1 O 0.0000 0.5000 0.5000

***

Entry 3:
# LiTl2ZnBi2 PBE optimized geometry
# - Electronic total energy: -2.70 eV per atom
# - Spin magnetization: 0.00 μB/cell
# - V: 28.794 Å³/atom
# - Formation energy: -0.51 eV/f.u.
data_LiTl2ZnBi2
_chemical_formula_sum 'Li4 Tl8 Zn4 Bi8'
_space_group_name_H-M_alt 'I b a m'
_space_group_IT_number 72
_space_group_name_Hall '-I 2 2c'
_cell_length_a 6.4502
_cell_length_b 15.3112
_cell_length_c 6.9973
_cell_angle_alpha 90.00
_cell_angle_beta 90.00
_cell_angle_gamma 90.00
loop_
_atom_site_label
_atom_site_type_symbol
_atom_site_fract_x
_atom_site_fract_y
_atom_site_fract_z
Li1 Li 0.0000 0.0000 0.2500
Tl1 Tl 0.2359 0.1686 0.0000
Zn1 Zn 0.0000 0.5000 0.2500
Bi1 Bi 0.2327 0.3878 0.0000

***

Entry 4:
# Hg2Te2Pd3 PBE optimized geometry
# - Electronic total energy: -3.40 eV per atom
# - Uncorrected formation energy: -190 meV/atom
# - Spin magnetization: 0.00 μB/cell
# - V: 22.401 Å³/atom
data_Hg2Te2Pd3
_chemical_formula_sum 'Hg6 Te6 Pd9'
_space_group_name_H-M_alt 'R -3 m'
_space_group_IT_number 166
_space_group_name_Hall '-R 3 2"'
_cell_length_a 5.8109
_cell_length_b 5.8109
_cell_length_c 16.0867
_cell_angle_alpha 90.00
_cell_angle_beta 90.00
_cell_angle_gamma 120.00
loop_
_atom_site_label
_atom_site_type_symbol
_atom_site_fract_x
_atom_site_fract_y
_atom_site_fract_z
Hg1 Hg 0.0000 0.0000 0.0000
Hg2 Hg 0.0000 0.0000 0.5000
Te1 Te 0.0000 0.0000 0.2078
Pd1 Pd 0.0000 0.5000 0.0000

***

Entry 5:
# YbSbAu PBE optimized geometry
# - Electronic total energy: -3.73 eV per atom
# - Uncorrected formation energy: -755 meV/atom
# - Spin magnetization: 0.00 μB/cell
# - V: 26.587 Å³/atom
data_YbSbAu
_chemical_formula_sum 'Yb2 Sb2 Au2'
_space_group_name_H-M_alt 'P 1'
_space_group_IT_number 1
_cell_length_a 4.3996
_cell_length_b 4.4041
_cell_length_c 8.7247
_cell_angle_alpha 102.41
_cell_angle_beta 104.57
_cell_angle_gamma 90.02
loop_
_space_group_symop_operation_xyz
'x,y,z'
loop_
_atom_site_label
_atom_site_type_symbol
_atom_site_fract_x
_atom_site_fract_y
_atom_site_fract_z
Yb1 Yb 0.0000 0.0000 0.0000
Yb2 Yb 0.2458 0.7119 0.4910
Sb1 Sb 0.5810 0.5769 0.1620
Sb2 Sb 0.8348 0.2794 0.6693
Au1 Au 0.4187 0.5019 0.8372
Au2 Au 0.6748 0.1528 0.3468

***

Entry 6:
# K2AuCl PBE optimized geometry
# - Electronic total energy: -2.91 eV per atom
# - Uncorrected formation energy: -1083 meV/atom
# - Spin magnetization: 0.00 μB/cell
# - V: 36.076 Å³/atom
data_K2AuCl
_chemical_formula_sum 'K2 Au1 Cl1'
_space_group_name_H-M_alt 'P 4/m m m'
_space_group_IT_number 123
_space_group_name_Hall '-P 4 2'
_cell_length_a 4.6700
_cell_length_b 4.6700
_cell_length_c 6.6167
_cell_angle_alpha 90.00
_cell_angle_beta 90.00
_cell_angle_gamma 90.00
loop_
_atom_site_label
_atom_site_type_symbol
_atom_site_fract_x
_atom_site_fract_y
_atom_site_fract_z
K1 K 0.0000 0.0000 0.0000
K2 K 0.5000 0.5000 0.5000
Au1 Au 0.0000 0.0000 0.5000
Cl1 Cl 0.5000 0.5000 0.0000

***

Entry 7:
# Ca2TaCl PBE optimized geometry
# - Electronic total energy: -4.18 eV per atom
# - Uncorrected formation energy: 244 meV/atom
# - Spin magnetization: 5.44 μB/cell
# - V: 28.810 Å³/atom
data_Ca2TaCl
_chemical_formula_sum 'Ca4 Ta2 Cl2'
_space_group_name_H-M_alt 'I m m m'
_space_group_IT_number 71
_space_group_name_Hall '-I 2 2'
_cell_length_a 3.3807
_cell_length_b 6.7329
_cell_length_c 10.1259
_cell_angle_alpha 90.00
_cell_angle_beta 90.00
_cell_angle_gamma 90.00
loop_
_atom_site_label
_atom_site_type_symbol
_atom_site_fract_x
_atom_site_fract_y
_atom_site_fract_z
Ca1 Ca 0.0000 0.0000 0.2104
Ta1 Ta 0.0000 0.5000 0.0000
Cl1 Cl 0.0000 0.5000 0.5000

***

Entry 8:
# TePAu PBE optimized geometry
# - Electronic total energy: -3.90 eV per atom
# - Uncorrected formation energy: 44 meV/atom
# - Spin magnetization: 0.00 μB/cell
# - V: 25.801 Å³/atom
data_TePAu
_chemical_formula_sum 'Te2 P2 Au2'
_space_group_name_H-M_alt 'P 1'
_space_group_IT_number 1
_cell_length_a 5.0181
_cell_length_b 5.2278
_cell_length_c 6.5804
_cell_angle_alpha 69.46
_cell_angle_beta 73.66
_cell_angle_gamma 81.00
loop_
_space_group_symop_operation_xyz
'x,y,z'
loop_
_atom_site_label
_atom_site_type_symbol
_atom_site_fract_x
_atom_site_fract_y
_atom_site_fract_z
Te1 Te 0.0000 0.0000 0.0000
Te2 Te 0.3491 0.4263 0.2281
P1 P 0.6975 0.4474 0.8559
P2 P 0.9751 0.7943 0.7075
Au1 Au 0.4163 0.5583 0.5907
Au2 Au 0.7157 0.1047 0.4622

***

Entry 9:
# Zn4Cu7Si PBE optimized geometry
# - Electronic total energy: -3.24 eV per atom
# - Uncorrected formation energy: 23 meV/atom
# - Spin magnetization: 0.00 μB/cell
# - V: 13.553 Å³/atom
data_Zn4Cu7Si
_chemical_formula_sum 'Zn4 Cu7 Si1'
_space_group_name_H-M_alt 'P -1'
_space_group_IT_number 2
_cell_length_a 4.4005
_cell_length_b 4.8455
_cell_length_c 7.7616
_cell_angle_alpha 93.01
_cell_angle_beta 99.09
_cell_angle_gamma 94.16
loop_
_space_group_symop_operation_xyz
'x,y,z'
'-x,-y,-z'
loop_
_atom_site_label
_atom_site_type_symbol
_atom_site_fract_x
_atom_site_fract_y
_atom_site_fract_z
Zn1 Zn 0.1641 0.2250 0.2630
Zn2 Zn 0.3062 0.5878 0.8735
Cu1 Cu 0.0620 0.2365 0.6034
Cu2 Cu 0.2318 0.0899 0.9454
Cu3 Cu 0.3260 0.7423 0.2039
Cu4 Cu 0.5000 0.5000 0.5000
Si1 Si 0.5000 0.0000 0.5000

***

Entry 10:
# CoPbBr2 PBE optimized geometry
# - Electronic total energy: -3.24 eV per atom
# - Uncorrected formation energy: 302 meV/atom
# - Spin magnetization: 3.79 μB/cell
# - V: 26.804 Å³/atom
data_CoPbBr2
_chemical_formula_sum 'Co2 Pb2 Br4'
_space_group_name_H-M_alt 'C 1 2/m 1'
_space_group_IT_number 12
_cell_length_a 7.1669
_cell_length_b 9.0464
_cell_length_c 3.7638
_cell_angle_alpha 90.00
_cell_angle_beta 118.51
_cell_angle_gamma 90.00
loop_
_space_group_symop_operation_xyz
'x,y,z'
'-x,-y,-z'
'-x,y,-z'
'x,-y,z'
'x+1/2,y+1/2,z'
'-x+1/2,-y+1/2,-z'
'-x+1/2,y+1/2,-z'
'x+1/2,-y+1/2,z'
loop_
_atom_site_label
_atom_site_type_symbol
_atom_site_fract_x
_atom_site_fract_y
_atom_site_fract_z
Co1 Co 0.0000 0.0000 0.0000
Pb1 Pb 0.0000 0.5000 0.0000
Br1 Br 0.2500 0.2500 0.5000

***

Entry 11:
# NaCuAs PBE optimized geometry
# - Electronic total energy: -3.59 eV per atom
# - Spin magnetization: 0.00 μB/cell
# - V: 19.214 Å³/atom
# - Formation energy: -0.71 eV/f.u.
data_NaCuAs
_chemical_formula_sum 'Na4 Cu4 As4'
_space_group_name_H-M_alt 'C 1 2 1'
_space_group_IT_number 5
_cell_length_a 5.6459
_cell_length_b 5.6452
_cell_length_c 7.7644
_cell_angle_alpha 90.00
_cell_angle_beta 111.29
_cell_angle_gamma 90.00
loop_
_space_group_symop_operation_xyz
'x,y,z'
'-x,y,-z'
'x+1/2,y+1/2,z'
'-x+1/2,y+1/2,-z'
loop_
_atom_site_label
_atom_site_type_symbol
_atom_site_fract_x
_atom_site_fract_y
_atom_site_fract_z
Na1 Na 0.1730 0.0000 0.3463
Cu1 Cu 0.2496 0.2509 0.9999
As1 As 0.1049 0.5002 0.2104

***

Entry 12:
# MgMoCl3 PBE optimized geometry
# - Electronic total energy: -3.99 eV per atom
# - Uncorrected formation energy: -394 meV/atom
# - Spin magnetization: 5.00 μB/cell
# - V: 23.891 Å³/atom
data_MgMoCl3
_chemical_formula_sum 'Mg1 Mo1 Cl3'
_space_group_name_H-M_alt 'P m -3 m'
_space_group_IT_number 221
_space_group_name_Hall '-P 4 2 3'
_cell_length_a 4.9250
_cell_length_b 4.9250
_cell_length_c 4.9250
_cell_angle_alpha 90.00
_cell_angle_beta 90.00
_cell_angle_gamma 90.00
loop_
_atom_site_label
_atom_site_type_symbol
_atom_site_fract_x
_atom_site_fract_y
_atom_site_fract_z
Mg1 Mg 0.0000 0.0000 0.0000
Mo1 Mo 0.5000 0.5000 0.5000
Cl1 Cl 0.0000 0.0000 0.5000